VASP calculation (GGA-PBE) on Sc2MnNi after structural relaxation.

Cell lengths 3.727, 3.780, 5.344 Å; angles 69.37, 90.00, 90.00 degrees
Site moments in Bohr magnetons follow the coordinates.
Sites, in units of the cell vectors:
Mn  0.000  0.692  0.491  2.48
Ni  0.500  0.553  0.769  0.16
Sc  0.000  0.978  0.918  -0.25
Sc  0.500  0.277  0.321  -0.27

## Properties
- Magnetic moment: 0.461 μB/atom
- Calculated formation energy: -0.148 eV per atom
- Space-group type: Pm, No. 6
- Uncorrected energy: -7.052 eV per atom

***

VASP calculation (GGA-PBE) on Sc6MnNi5 after structural relaxation.

Cell lengths 4.490, 6.293, 7.077 Å; angles 90.00, 108.39, 90.00 degrees
Sites, in units of the cell vectors:
Sc  0.835  0.752  0.671
Sc  0.835  0.248  0.671
Sc  0.500  0.247  0.000
Sc  0.500  0.753  0.000
Sc  0.165  0.752  0.329
Sc  0.165  0.248  0.329
Ni  0.669  0.500  0.338
Ni  0.334  0.000  0.668
Ni  0.000  0.500  0.000
Ni  0.666  0.000  0.332
Ni  0.331  0.500  0.662
Mn  0.000  0.000  0.000

## Properties
- Magnetic moment: 0.000 μB/atom
- Calculated formation energy: -0.390 eV per atom
- Space-group type: P2/m, No. 10
- Uncorrected energy: -6.729 eV per atom

***

VASP calculation (GGA-PBE) on ScMnNi10 after structural relaxation.

Cell lengths 3.983, 4.697, 8.118 Å; angles 90.00, 90.00, 90.00 degrees
Site moments in Bohr magnetons follow the coordinates.
Sites, in units of the cell vectors:
Sc  0.000  0.000  0.000  -0.11
Mn  0.000  0.500  0.500  3.91
Ni  0.000  0.000  0.337  0.41
Ni  0.000  0.500  0.828  0.32
Ni  0.000  0.500  0.172  0.32
Ni  0.000  0.000  0.663  0.41
Ni  0.500  0.000  0.500  0.56
Ni  0.500  0.500  0.000  0.49
Ni  0.500  0.251  0.252  0.53
Ni  0.500  0.749  0.748  0.53
Ni  0.500  0.749  0.252  0.53
Ni  0.500  0.251  0.748  0.53

## Properties
- Magnetic moment: 0.688 μB/atom
- Calculated formation energy: -0.070 eV per atom
- Space-group type: Pmmm, No. 47
- Uncorrected energy: -6.179 eV per atom

***

VASP calculation (GGA-PBE) on ScMnNi after structural relaxation.

Cell lengths 3.956, 3.956, 3.527 Å; angles 90.00, 90.00, 120.00 degrees
Site moments in Bohr magnetons follow the coordinates.
Sites, in units of the cell vectors:
Mn  0.000  0.000  0.167  2.53
Ni  0.667  0.333  0.166  0.20
Sc  0.333  0.667  0.667  -0.23

## Properties
- Magnetic moment: 0.803 μB/atom
- Calculated formation energy: -0.067 eV per atom
- Space-group type: P-6m2, No. 187
- Uncorrected energy: -7.161 eV per atom

***

VASP calculation (GGA-PBE) on ScMnNiSn after structural relaxation.

Cell lengths 4.532, 4.532, 4.532 Å; angles 60.00, 60.00, 60.00 degrees
Site moments in Bohr magnetons follow the coordinates.
Sites, in units of the cell vectors:
Sc  0.750  0.750  0.750  -0.04
Ni  0.000  0.000  0.000  0.42
Mn  0.500  0.500  0.500  3.12
Sn  0.250  0.250  0.250  -0.02

## Properties
- Magnetic moment: 0.915 μB/atom
- Calculated formation energy: -0.220 eV per atom
- Space-group type: F-43m, No. 216
- Uncorrected energy: -6.541 eV per atom

***

VASP calculation (GGA-PBE) on ScTaMnNi after structural relaxation.

Cell lengths 4.385, 4.385, 4.385 Å; angles 60.00, 60.00, 60.00 degrees
Sites, in units of the cell vectors:
Sc  0.500  0.500  0.500
Ni  0.250  0.250  0.250
Mn  0.750  0.750  0.750
Ta  0.000  0.000  0.000

## Properties
- Magnetic moment: 0.000 μB/atom
- Calculated formation energy: -0.151 eV per atom
- Space-group type: F-43m, No. 216
- Uncorrected energy: -8.435 eV per atom

***

VASP calculation (GGA-PBE) on ScTaMnNi2 after structural relaxation.

Cell lengths 4.354, 4.342, 4.354 Å; angles 90.00, 90.00, 90.00 degrees
Site moments in Bohr magnetons follow the coordinates.
Sites, in units of the cell vectors:
Sc  0.000  0.500  0.000  0.06
Ni  0.000  0.000  0.500  0.58
Ni  0.500  0.000  0.000  0.37
Mn  0.000  0.000  0.000  1.69
Ta  0.500  0.500  0.500  0.65

## Properties
- Magnetic moment: 0.710 μB/atom
- Calculated formation energy: 0.897 eV per atom
- Space-group type: P4/mmm, No. 123
- Uncorrected energy: -6.887 eV per atom

***

VASP calculation (GGA-PBE) on ScMnTcNi after structural relaxation.

Cell lengths 4.331, 4.331, 4.331 Å; angles 60.00, 60.00, 60.00 degrees
Site moments in Bohr magnetons follow the coordinates.
Sites, in units of the cell vectors:
Sc  0.000  0.000  0.000  -0.07
Ni  0.250  0.250  0.250  0.35
Mn  0.500  0.500  0.500  2.82
Tc  0.750  0.750  0.750  -0.33

## Properties
- Magnetic moment: 0.694 μB/atom
- Calculated formation energy: -0.081 eV per atom
- Space-group type: F-43m, No. 216
- Uncorrected energy: -7.993 eV per atom

***

VASP calculation (GGA-PBE) on ScMnNi2Te after structural relaxation.

Cell lengths 4.602, 4.810, 4.602 Å; angles 90.00, 90.00, 90.00 degrees
Site moments in Bohr magnetons follow the coordinates.
Sites, in units of the cell vectors:
Sc  0.500  0.500  0.500  -0.39
Ni  0.000  0.000  0.500  0.06
Ni  0.500  0.000  0.000  0.06
Te  0.000  0.000  0.000  -0.03
Mn  0.000  0.500  0.000  3.18

## Properties
- Magnetic moment: 0.538 μB/atom
- Space-group type: P4/mmm, No. 123
- Uncorrected energy: -5.541 eV per atom

***

VASP calculation (GGA-PBE) on ScMnZnNi after structural relaxation.

Cell lengths 4.411, 4.411, 4.411 Å; angles 60.00, 60.00, 60.00 degrees
Site moments in Bohr magnetons follow the coordinates.
Sites, in units of the cell vectors:
Sc  0.250  0.250  0.250  -0.11
Ni  0.500  0.500  0.500  0.47
Zn  0.000  0.000  0.000  -0.04
Mn  0.750  0.750  0.750  3.58

## Properties
- Magnetic moment: 0.997 μB/atom
- Calculated formation energy: -0.186 eV per atom
- Space-group type: F-43m, No. 216
- Uncorrected energy: -5.825 eV per atom

***

VASP calculation (GGA-PBE) on ZrScMnNi3 after structural relaxation.

Cell lengths 4.983, 4.983, 4.937 Å; angles 59.69, 120.31, 120.00 degrees
Site moments in Bohr magnetons follow the coordinates.
Sites, in units of the cell vectors:
Zr  0.998  0.002  0.994  -0.31
Sc  0.251  0.749  0.754  -0.20
Mn  0.625  0.375  0.875  2.63
Ni  0.625  0.375  0.376  0.25
Ni  0.625  0.874  0.376  0.25
Ni  0.126  0.375  0.376  0.25

## Properties
- Magnetic moment: 0.444 μB/atom
- Calculated formation energy: -0.388 eV per atom
- Space-group type: R3m, No. 160
- Uncorrected energy: -7.286 eV per atom

***

VASP calculation (GGA-PBE) on ZrScMnNi after structural relaxation.

Cell lengths 4.489, 4.489, 4.489 Å; angles 60.00, 60.00, 60.00 degrees
Sites, in units of the cell vectors:
Sc  0.250  0.250  0.250
Ni  0.500  0.500  0.500
Mn  0.000  0.000  0.000
Zr  0.750  0.750  0.750

## Properties
- Magnetic moment: 0.000 μB/atom
- Calculated formation energy: -0.178 eV per atom
- Space-group type: F-43m, No. 216
- Uncorrected energy: -7.635 eV per atom